{"formula": "LiScS2", "functional": "PBE", "state": "optimized geometry", "cell": [[1.8364, 1.0602, 6.3841], [-1.8364, 1.0602, 6.3841], [0.0000, -2.1205, 6.3841]], "species": ["Li", "Sc", "S", "S"], "frac_coords": [[0.0000, 0.0000, 0.0000], [0.8273, 0.8273, 0.8273], [0.2373, 0.2373, 0.2373], [0.4163, 0.4163, 0.4163]], "dos_ef_per_ev_fu": 0.0, "mass_density_g_cm3": 2.58, "formation_energy_uncorrected_ev_per_atom": -1.724, "vol_a3_per_cell": 74.6}